Here is a relaxed Ba5HoTe6 crystal from the Alexandria database. Energies are from GGA-PBE.

abc: 8.4467 8.4467 8.4379
angles: 99.67 99.67 119.92
Fractional positions:
1 Ba 0.0000 0.0000 0.0000
2 Ba 0.1650 0.8350 0.5000
3 Ba 0.3271 0.6729 0.0000
4 Ba 0.6729 0.3271 0.0000
5 Ba 0.8350 0.1650 0.5000
6 Ho 0.5000 0.5000 0.5000
7 Te 0.1152 0.4232 0.2677
8 Te 0.2739 0.2739 0.7368
9 Te 0.4232 0.1152 0.2677
10 Te 0.5768 0.8848 0.7323
11 Te 0.7261 0.7261 0.2632
12 Te 0.8848 0.5768 0.7323

Values from the calculation:
Symmetry = No. 12
VASP energy = -4.42 eV per atom
Mass density = 5.464 Mg/m³
E_form (uncorrected) = -38.53 kcal/mol of atoms